# 1
A plane-wave DFT calculation with GGA-PBE was carried out for an optimized crystal structure of NaTaIN2.

a b c (Å): 4.3820 4.3820 5.0657
angles (deg): 90.00 90.00 90.00
Space group P4/mmm (No. 123)
Unique sites:
1 Na 0.0000 0.0000 0.0000 x1
2 Ta 0.5000 0.5000 0.0000 x1
3 I 0.0000 0.0000 0.5000 x1
4 N 0.0000 0.5000 0.5000 x2

The value obtained for the total magnetization is 2.36 Bohr magnetons per cell. The electronic total energy comes out at -3.70 eV/atom. As for the excess energy over the best structure of this formula in the dataset: 2698 meV per atom.



# 2
A plane-wave DFT calculation with GGA-PBE was carried out for an optimized crystal structure of NaTaIN2.

a b c (Å): 4.3197 4.3197 5.2558
angles (deg): 90.00 90.00 90.00
Space group P4/mmm (No. 123)
Unique sites:
1 Na 0.0000 0.0000 0.0000 x1
2 Ta 0.5000 0.5000 0.5000 x1
3 I 0.0000 0.0000 0.5000 x1
4 N 0.0000 0.5000 0.0000 x2

The value obtained for the total magnetization is 1.03 Bohr magnetons per cell. The electronic total energy comes out at -3.97 eV/atom. As for the excess energy over the best structure of this formula in the dataset: 2424 meV per atom.



# 3
A plane-wave DFT calculation with GGA-PBE was carried out for an optimized crystal structure of NaTaIN2.

a b c (Å): 4.0882 4.0882 5.8924
angles (deg): 90.00 90.00 90.00
Space group P4/mmm (No. 123)
Unique sites:
1 Na 0.0000 0.0000 0.0000 x1
2 Ta 0.5000 0.5000 0.5000 x1
3 I 0.5000 0.5000 0.0000 x1
4 N 0.0000 0.5000 0.5000 x2

The value obtained for the total magnetization is 0.26 Bohr magnetons per cell. The electronic total energy comes out at -6.40 eV/atom. As for the excess energy over the best structure of this formula in the dataset: 0 meV per atom.



# 4
A plane-wave DFT calculation with GGA-PBE was carried out for an optimized crystal structure of NaTcI2N.

a b c (Å): 5.6814 5.6814 4.2143
angles (deg): 90.00 90.00 90.00
Space group P4/mmm (No. 123)
Unique sites:
1 Na 0.0000 0.0000 0.0000 x1
2 Tc 0.5000 0.5000 0.5000 x1
3 I 0.0000 0.5000 0.0000 x2
4 N 0.0000 0.0000 0.5000 x1

The value obtained for the total magnetization is 2.37 Bohr magnetons per cell. The electronic total energy comes out at -2.90 eV/atom. As for the excess energy over the best structure of this formula in the dataset: 1828 meV per atom.



# 5
A plane-wave DFT calculation with GGA-PBE was carried out for an optimized crystal structure of NaTcI2N.

a b c (Å): 5.7137 5.7137 3.7951
angles (deg): 90.00 90.00 90.00
Space group P4/mmm (No. 123)
Unique sites:
1 Na 0.0000 0.0000 0.0000 x1
2 Tc 0.5000 0.5000 0.5000 x1
3 I 0.0000 0.5000 0.5000 x2
4 N 0.5000 0.5000 0.0000 x1

The value obtained for the total magnetization is 0.39 Bohr magnetons per cell. The electronic total energy comes out at -4.73 eV/atom. As for the excess energy over the best structure of this formula in the dataset: 0 meV per atom.



# 6
A plane-wave DFT calculation with GGA-PBE was carried out for an optimized crystal structure of NaTeI2N.

a b c (Å): 5.1553 5.1553 4.8794
angles (deg): 90.00 90.00 90.00
Space group P4/mmm (No. 123)
Unique sites:
1 Na 0.0000 0.0000 0.0000 x1
2 Te 0.5000 0.5000 0.0000 x1
3 I 0.0000 0.5000 0.5000 x2
4 N 0.5000 0.5000 0.5000 x1

The value obtained for the total magnetization is 0.00 Bohr magnetons per cell. The electronic total energy comes out at -2.75 eV/atom. As for the excess energy over the best structure of this formula in the dataset: 280 meV per atom.



# 7
A plane-wave DFT calculation with GGA-PBE was carried out for an optimized crystal structure of NaTeI2N.

a b c (Å): 6.3319 6.3319 4.0518
angles (deg): 90.00 90.00 90.00
Space group P4/mmm (No. 123)
Unique sites:
1 Na 0.0000 0.0000 0.0000 x1
2 Te 0.5000 0.5000 0.5000 x1
3 I 0.0000 0.5000 0.5000 x2
4 N 0.5000 0.5000 0.0000 x1

The value obtained for the total magnetization is 0.00 Bohr magnetons per cell. The electronic total energy comes out at -3.03 eV/atom. As for the excess energy over the best structure of this formula in the dataset: 0 meV per atom.



# 8
A plane-wave DFT calculation with GGA-PBE was carried out for an optimized crystal structure of NaTeI2N.

a b c (Å): 6.0708 6.0708 6.1788
angles (deg): 90.00 90.00 90.00
Space group P4/mmm (No. 123)
Unique sites:
1 Na 0.0000 0.0000 0.0000 x1
2 Te 0.0000 0.0000 0.5000 x1
3 I 0.0000 0.5000 0.0000 x2
4 N 0.5000 0.5000 0.5000 x1

The value obtained for the total magnetization is 6.04 Bohr magnetons per cell. The electronic total energy comes out at -2.06 eV/atom. As for the excess energy over the best structure of this formula in the dataset: 970 meV per atom.



# 9
A plane-wave DFT calculation with GGA-PBE was carried out for an optimized crystal structure of NaTeI2N.

a b c (Å): 5.7743 5.7743 4.3473
angles (deg): 90.00 90.00 90.00
Space group P4/mmm (No. 123)
Unique sites:
1 Na 0.0000 0.0000 0.0000 x1
2 Te 0.5000 0.5000 0.5000 x1
3 I 0.0000 0.5000 0.0000 x2
4 N 0.0000 0.0000 0.5000 x1

The value obtained for the total magnetization is 0.00 Bohr magnetons per cell. The electronic total energy comes out at -2.01 eV/atom. As for the excess energy over the best structure of this formula in the dataset: 1028 meV per atom.



# 10
A plane-wave DFT calculation with GGA-PBE was carried out for an optimized crystal structure of NaTiIN2.

a b c (Å): 3.9971 3.9971 6.0039
angles (deg): 90.00 90.00 90.00
Space group P4/mmm (No. 123)
Unique sites:
1 Na 0.0000 0.0000 0.0000 x1
2 Ti 0.5000 0.5000 0.5000 x1
3 I 0.5000 0.5000 0.0000 x1
4 N 0.0000 0.5000 0.5000 x2

The value obtained for the total magnetization is 0.00 Bohr magnetons per cell. The electronic total energy comes out at -5.53 eV/atom. As for the excess energy over the best structure of this formula in the dataset: 0 meV per atom.



# 11
A plane-wave DFT calculation with GGA-PBE was carried out for an optimized crystal structure of NaTiIN2.

a b c (Å): 4.2701 4.2701 5.2882
angles (deg): 90.00 90.00 90.00
Space group P4/mmm (No. 123)
Unique sites:
1 Na 0.0000 0.0000 0.0000 x1
2 Ti 0.5000 0.5000 0.5000 x1
3 I 0.0000 0.0000 0.5000 x1
4 N 0.0000 0.5000 0.0000 x2

The value obtained for the total magnetization is 2.71 Bohr magnetons per cell. The electronic total energy comes out at -3.56 eV/atom. As for the excess energy over the best structure of this formula in the dataset: 1978 meV per atom.



# 12
A plane-wave DFT calculation with GGA-PBE was carried out for an optimized crystal structure of NaTiIN2.

a b c (Å): 3.9552 3.9552 9.9241
angles (deg): 90.00 90.00 90.00
Space group P4/mmm (No. 123)
Unique sites:
1 Na 0.0000 0.0000 0.0000 x1
2 Ti 0.0000 0.0000 0.5000 x1
3 I 0.5000 0.5000 0.0000 x1
4 N 0.0000 0.5000 0.5000 x2

The value obtained for the total magnetization is 0.00 Bohr magnetons per cell. The electronic total energy comes out at -5.37 eV/atom. As for the excess energy over the best structure of this formula in the dataset: 169 meV per atom.



# 13
A plane-wave DFT calculation with GGA-PBE was carried out for an optimized crystal structure of NaTlI2N.

a b c (Å): 6.1205 6.1205 4.8327
angles (deg): 90.00 90.00 90.00
Space group P4/mmm (No. 123)
Unique sites:
1 Na 0.0000 0.0000 0.0000 x1
2 Tl 0.5000 0.5000 0.5000 x1
3 I 0.0000 0.5000 0.0000 x2
4 N 0.0000 0.0000 0.5000 x1

The value obtained for the total magnetization is 3.01 Bohr magnetons per cell. The electronic total energy comes out at -2.69 eV/atom. As for the excess energy over the best structure of this formula in the dataset: 47 meV per atom.



# 14
A plane-wave DFT calculation with GGA-PBE was carried out for an optimized crystal structure of NaTlIN2.

a b c (Å): 4.9551 4.9551 6.3993
angles (deg): 90.00 90.00 90.00
Space group P4/mmm (No. 123)
Unique sites:
1 Na 0.0000 0.0000 0.0000 x1
2 Tl 0.5000 0.5000 0.5000 x1
3 I 0.0000 0.0000 0.5000 x1
4 N 0.0000 0.5000 0.0000 x2

The value obtained for the total magnetization is 5.00 Bohr magnetons per cell. The electronic total energy comes out at -3.02 eV/atom. As for the excess energy over the best structure of this formula in the dataset: 199 meV per atom.



# 15
A plane-wave DFT calculation with GGA-PBE was carried out for an optimized crystal structure of NaTlI2N.

a b c (Å): 6.3264 6.3264 4.3537
angles (deg): 90.00 90.00 90.00
Space group P4/mmm (No. 123)
Unique sites:
1 Na 0.0000 0.0000 0.0000 x1
2 Tl 0.5000 0.5000 0.5000 x1
3 I 0.0000 0.5000 0.5000 x2
4 N 0.5000 0.5000 0.0000 x1

The value obtained for the total magnetization is 1.40 Bohr magnetons per cell. The electronic total energy comes out at -2.74 eV/atom. As for the excess energy over the best structure of this formula in the dataset: 0 meV per atom.